Density functional theory data (PBE+U) for an optimized crystal structure of NiP3NO9.

Calculated values
- Magnetization: 0.4286 μB per atom
- Uncorrected energy: -6.443 eV per atom

Lattice parameters (Å, degrees): 6.290 6.290 6.290 105.46 105.46 105.46
Element x y z (fractional)
Ni  0.000  0.000  0.000
P  0.074  0.500  0.926
P  0.500  0.926  0.074
P  0.926  0.074  0.500
N  0.500  0.500  0.500
O  0.000  0.351  0.649
O  0.052  0.338  0.063
O  0.063  0.052  0.338
O  0.338  0.063  0.052
O  0.351  0.649  0.000
O  0.649  0.000  0.351
O  0.662  0.948  0.937
O  0.937  0.662  0.948
O  0.948  0.937  0.662